Crystalline Li7Bi3 at its relaxed geometry, computed with GGA-PBE.

Summary:
As for the space group: No. 12. For the total energy, the calculation gives -2.938 eV/atom.

Cell lengths 4.8148, 6.2774, 8.8332 Å; angles 122.46, 105.82, 90.00 degrees
Fractional coordinates of all 10 atoms:
Li1 0.0000 0.5000 0.0000
Bi1 0.0000 0.0000 0.0000
Li2 0.6260 0.8357 0.2519
Bi2 0.8139 0.3371 0.6278
Li3 0.3845 0.6912 0.7691
Li4 0.8016 0.8169 0.6033
Li5 0.6155 0.3088 0.2309
Li6 0.3740 0.1643 0.7481
Bi3 0.1861 0.6629 0.3722
Li7 0.1984 0.1831 0.3967